Record 1
A plane-wave DFT calculation with PBE was carried out for a relaxed structure of TaFe2Cl.

The structure in POSCAR format:
```
TaFe2Cl
1.0
-1.268 -2.041 3.970
-2.752 -3.288 1.775
2.562 -4.035 0.560
Ta Fe Cl
1 2 1
Cartesian
-0.954 -4.594 3.254
-1.549 -9.071 6.199
-0.824 -7.020 4.544
-0.319 -2.724 1.763
```

Crystal system   monoclinic
Space-group type   Cm
M_tot   4.5 μB per formula unit
Excess energy over the best structure of this formula in the dataset   1.47 eV per formula unit

Record 2
A plane-wave DFT calculation with PBE was carried out for a relaxed structure of Ta2FeCl.

The structure in POSCAR format:
```
Ta2FeCl
1.0
4.597 0.003 0.000
-0.006 4.597 0.000
0.000 0.000 2.877
Fe Cl Ta
1 1 2
Cartesian
-0.003 2.299 1.439
2.299 0.002 1.439
2.296 2.300 0.000
0.000 0.000 0.000
```

Crystal system   tetragonal
Space-group type   P4/mmm
M_tot   1.3 μB per formula unit
Excess energy over the best structure of this formula in the dataset   1.77 eV per formula unit

Record 3
A plane-wave DFT calculation with PBE was carried out for a relaxed structure of TaFeCl2.

The structure in POSCAR format:
```
TaFeCl2
1.0
-3.659 -0.632 6.884
1.433 -1.807 7.474
0.782 3.800 -6.792
Cl Ta Fe
2 1 1
Cartesian
-0.250 -0.274 1.615
-0.863 -0.945 5.564
0.551 0.386 3.930
-1.995 0.974 3.635
```

Crystal system   orthorhombic
Space-group type   Immm
M_tot   2.4 μB per formula unit
Excess energy over the best structure of this formula in the dataset   1.20 eV per formula unit